# 1
First-principles (PBE) data for Mg3HF5 after structural relaxation, as listed in Alexandria via LeMat-Bulk.

```
Mg3HF5
1.0
-3.062 0.371 0.007
-0.561 -4.624 -0.318
-0.060 -0.751 13.973
Mg H F
6 2 10
Direct
0.000 0.000 0.000
0.000 0.007 0.669
0.000 0.993 0.331
0.500 0.493 0.832
0.500 0.500 0.500
0.500 0.507 0.168
0.000 0.695 0.232
0.000 0.305 0.768
0.500 0.805 0.733
0.500 0.810 0.068
0.500 0.795 0.396
0.000 0.689 0.899
0.000 0.703 0.565
0.000 0.297 0.435
0.000 0.311 0.101
0.500 0.190 0.932
0.500 0.205 0.604
0.500 0.195 0.267
```

Results
raw total energy	-4.9272	eV per atom

---

# 2
First-principles (PBE) data for Mg2HF after structural relaxation, as listed in Alexandria via LeMat-Bulk.

```
Mg2HF
1.0
4.851 0.000 0.000
0.000 4.851 0.000
2.425 2.425 4.881
H Mg F
2 4 2
Direct
0.500 0.500 0.000
0.250 0.750 0.500
0.609 0.125 0.250
0.141 0.625 0.250
0.375 0.391 0.750
0.875 0.859 0.750
0.000 0.000 0.000
0.750 0.250 0.500
```

Results
energy above the most stable polymorph in this dataset	0.0	meV per atom

---

# 3
First-principles (PBE) data for MgHF2 after structural relaxation, as listed in Alexandria via LeMat-Bulk.

```
MgHF2
1.0
5.153 0.000 0.000
0.000 5.153 0.000
2.577 2.577 4.918
H Mg F
2 2 4
Direct
0.500 0.500 0.000
0.250 0.750 0.500
0.000 0.000 0.000
0.750 0.250 0.500
0.759 0.125 0.250
0.991 0.625 0.250
0.375 0.241 0.750
0.875 0.009 0.750
```

Results
energy above the most stable polymorph in this dataset	62.5	meV per atom

---

# 4
First-principles (PBE) data for MgHF after structural relaxation, as listed in Alexandria via LeMat-Bulk.

```
MgHF
1.0
-3.458 -2.279 -2.128
1.847 -2.421 -0.409
-1.708 0.216 2.544
H Mg F
1 1 1
Direct
0.533 0.333 0.667
0.338 0.667 0.333
0.129 0.000 0.000
```

Results
energy above the most stable polymorph in this dataset	82.9	meV per atom

---

# 5
First-principles (PBE) data for MgH2F after structural relaxation, as listed in Alexandria via LeMat-Bulk.

```
MgH2F
1.0
-1.438 -2.647 -0.166
1.501 -0.968 2.431
-5.497 0.915 5.629
H Mg F
4 2 2
Direct
0.875 0.125 0.250
0.875 0.625 0.250
0.375 0.125 0.750
0.875 0.125 0.750
0.000 0.000 0.000
0.750 0.250 0.500
0.500 0.500 0.000
0.250 0.750 0.500
```

Results
energy above the most stable polymorph in this dataset	0.0	meV per atom

---

# 6
First-principles (PBE) data for MgHF after structural relaxation, as listed in Alexandria via LeMat-Bulk.

```
MgHF
1.0
2.694 0.000 0.000
0.000 2.694 0.000
-1.347 -1.347 4.429
H Mg F
1 1 1
Direct
0.287 0.287 0.574
0.668 0.668 0.336
0.045 0.045 0.090
```

Results
energy above the most stable polymorph in this dataset	498.3	meV per atom

---

# 7
First-principles (PBE) data for MgHF after structural relaxation, as listed in Alexandria via LeMat-Bulk.

```
MgHF
1.0
3.015 0.000 0.000
0.000 5.125 0.000
0.000 0.000 10.298
H Mg F
4 4 4
Direct
0.250 0.982 0.095
0.750 0.018 0.905
0.250 0.482 0.405
0.750 0.518 0.595
0.250 0.745 0.553
0.750 0.255 0.447
0.250 0.245 0.947
0.750 0.755 0.053
0.250 0.006 0.399
0.750 0.994 0.601
0.250 0.506 0.101
0.750 0.494 0.899
```

Results
energy above the most stable polymorph in this dataset	151.3	meV per atom

---

# 8
First-principles (PBE) data for Mg7HF12 after structural relaxation, as listed in Alexandria via LeMat-Bulk.

```
Mg7HF12
1.0
6.803 -0.084 -0.126
-1.973 6.511 -0.126
-1.973 -2.625 5.960
Mg H F
7 1 12
Direct
0.981 0.626 0.850
0.374 0.150 0.019
0.150 0.019 0.374
0.500 0.500 0.500
0.850 0.981 0.626
0.626 0.850 0.981
0.019 0.374 0.150
0.000 0.000 0.000
0.926 0.307 0.812
0.693 0.188 0.074
0.437 0.167 0.349
0.833 0.651 0.563
0.188 0.074 0.693
0.651 0.563 0.833
0.349 0.437 0.167
0.812 0.926 0.307
0.167 0.349 0.437
0.563 0.833 0.651
0.307 0.812 0.926
0.074 0.693 0.188
```

Results
raw total energy	-4.8755	eV per atom

---

# 9
First-principles (PBE) data for Mg2HF after structural relaxation, as listed in Alexandria via LeMat-Bulk.

```
Mg2HF
1.0
-1.016 1.901 3.684
-4.098 0.491 1.089
-1.647 -2.293 3.202
H Mg F
1 2 1
Direct
0.000 0.000 0.000
0.250 0.250 0.250
0.750 0.750 0.750
0.500 0.500 0.500
```

Results
energy above the most stable polymorph in this dataset	425.4	meV per atom

---

# 10
First-principles (PBE) data for MgH2F2 after structural relaxation, as listed in Alexandria via LeMat-Bulk.

```
MgH2F2
1.0
3.118 0.000 0.000
-1.559 2.693 -0.206
0.000 -0.532 7.532
Mg H F
1 2 2
Direct
0.000 0.000 0.000
0.937 0.874 0.472
0.063 0.126 0.528
0.692 0.385 0.126
0.308 0.615 0.874
```

Results
raw total energy	-4.4889	eV per atom

---

# 11
First-principles (PBE) data for MgHF after structural relaxation, as listed in Alexandria via LeMat-Bulk.

```
MgHF
1.0
3.785 0.000 0.000
0.000 3.153 0.000
-0.079 0.000 5.376
Mg H F
2 2 2
Direct
0.745 0.250 0.276
0.255 0.750 0.724
0.253 0.250 0.905
0.747 0.750 0.095
0.248 0.250 0.415
0.752 0.750 0.585
```

Results
energy above the most stable polymorph in this dataset	60.2	meV per atom

---

# 12
First-principles (PBE) data for Mg3H5F after structural relaxation, as listed in Alexandria via LeMat-Bulk.

```
Mg3H5F
1.0
3.030 0.000 0.000
0.000 4.553 -0.057
0.000 0.372 13.636
Mg H F
6 10 2
Direct
0.000 0.000 0.000
0.000 0.994 0.664
0.000 0.006 0.336
0.500 0.510 0.835
0.500 0.500 0.500
0.500 0.490 0.165
0.500 0.803 0.730
0.500 0.793 0.062
0.500 0.815 0.403
0.000 0.707 0.898
0.000 0.687 0.566
0.000 0.313 0.434
0.000 0.293 0.102
0.500 0.207 0.938
0.500 0.185 0.597
0.500 0.197 0.270
0.000 0.698 0.232
0.000 0.302 0.768
```

Results
raw total energy	-3.3527	eV per atom